## 1
{"formula": "BaDyPd2", "functional": "PBE", "state": "optimized geometry", "cell": [[3.647, 0.000, 0.000], [0.000, 3.647, 0.000], [0.000, 0.000, 7.636]], "species": ["Ba", "Dy", "Pd", "Pd"], "fractional_positions": [[0.000, 0.000, 0.000], [0.000, 0.000, 0.500], [0.500, 0.500, 0.304], [0.500, 0.500, 0.696]], "dos_ef_per_ev_cell": 2.01}

## 2
{"formula": "BaDyPd2", "functional": "PBE", "state": "optimized geometry", "cell": [[5.273, 0.000, 0.000], [0.000, 5.273, 0.000], [0.000, 0.000, 3.616]], "species": ["Ba", "Dy", "Pd", "Pd"], "fractional_positions": [[0.000, 0.000, 0.000], [0.500, 0.500, 0.000], [0.000, 0.500, 0.500], [0.500, 0.000, 0.500]], "dos_ef_per_ev_cell": 1.46}

## 3
{"formula": "BaDyPd2", "functional": "PBE", "state": "optimized geometry", "cell": [[2.378, 1.373, 5.843], [-2.378, 1.373, 5.843], [0.000, -2.746, 5.843]], "species": ["Ba", "Dy", "Pd", "Pd"], "fractional_positions": [[0.000, 0.000, 0.000], [0.500, 0.500, 0.500], [0.210, 0.210, 0.210], [0.790, 0.790, 0.790]], "dos_ef_per_ev_cell": 1.77}

Which of them is least stable? Easy: 2.